(1)
SrCa2Zn: optimized geometry, GGA-PBE.

a = 6.4522 Å, b = 6.4522 Å, c = 6.4522 Å
α = 132.62°, β = 132.62°, γ = 69.24°
Sites, in units of the cell vectors:
Zn1 0.7500 0.2500 0.5000
Ca1 0.0000 0.0000 0.0000
Sr1 0.5000 0.5000 0.0000
Ca2 0.2500 0.7500 0.5000

Summary:
The calculation puts the formation energy from the elements at 0.070 eV per atom. For the total magnetization, the calculation gives 0.00 Bohr magnetons per cell.

(2)
Pm3YBi4: optimized geometry, GGA-PBE.

a = 4.5588 Å, b = 7.8914 Å, c = 7.8914 Å
α = 109.47°, β = 90.00°, γ = 90.00°
Sites, in units of the cell vectors:
Pm1 0.0000 0.5000 0.0000
Bi1 0.0000 0.7540 0.7540
Bi2 0.5000 0.7521 0.2479
Bi3 0.5000 0.2479 0.7521
Y1 0.5000 0.0000 0.0000
Pm2 0.5000 0.5000 0.5000
Pm3 0.0000 0.0000 0.5000
Bi4 0.0000 0.2460 0.2460

Summary:
The calculation puts the formation energy from the elements at -0.928 eV per atom. For the total magnetization, the calculation gives 0.00 Bohr magnetons per cell. The value obtained for the energy above the most stable polymorph in this dataset is 4 meV per atom.

(3)
Np2Ge4Ir5: optimized geometry, GGA-PBE.

a = 5.6274 Å, b = 5.5798 Å, c = 8.0203 Å
α = 79.81°, β = 69.46°, γ = 59.72°
Last column: magnetic moment on the atom in μB.
Sites, in units of the cell vectors:
Ge1 0.2122 0.3137 0.2619  0.01
Ge2 0.7878 0.6863 0.7381  0.01
Ge3 0.4741 0.3137 0.7381  0.01
Np1 0.1151 0.0000 0.7698  3.90
Ir1 0.0000 0.5000 0.0000  -0.09
Ir2 0.7500 0.5000 0.5000  -0.04
Ir3 0.5000 0.5000 0.0000  -0.09
Ir4 0.2500 0.5000 0.5000  -0.04
Ir5 0.5000 0.0000 0.0000  -0.06
Np2 0.8849 0.0000 0.2302  3.90
Ge4 0.5259 0.6863 0.2619  0.01

Summary:
The calculation puts the formation energy from the elements at -0.299 eV per atom. For the total magnetization, the calculation gives 8.09 Bohr magnetons per cell.

The DOS(E_F) results, record by record, are as follows: 4.79; 1.19; 24.94 states/eV/cell.